Record 1
DFT (GGA-PBE) results for crystalline TlTc4Hg at its relaxed geometry.

abc: 5.289 5.289 5.289
angles: 60.00 60.00 60.00
Atoms (fractional coordinates):
1 Tl 0.000 0.000 0.000
2 Tc 0.375 0.375 0.375
3 Tc 0.375 0.375 0.874
4 Tc 0.375 0.874 0.375
5 Tc 0.874 0.375 0.375
6 Hg 0.750 0.750 0.750

Electronic total energy in eV per atom: -6.660
Total moment in μB/atom: 0.00
Energy of formation from the pure elements in kJ/mol of formula units: 402


Record 2
DFT (GGA-PBE) results for crystalline TlTcHg2 at its relaxed geometry.

abc: 10.260 10.260 10.260
angles: 17.72 17.72 17.72
Atoms (fractional coordinates):
1 Tl 0.000 0.000 0.000
2 Tc 0.257 0.257 0.257
3 Hg 0.517 0.517 0.517
4 Hg 0.761 0.761 0.761

Electronic total energy in eV per atom: -2.769
Relative energy among the computed polymorphs in meV/atom: 90.3
Total moment in μB/atom: 0.27
Energy of formation from the pure elements in kJ/mol of formula units: 218


Record 3
DFT (GGA-PBE) results for crystalline TlTc2Hg at its relaxed geometry.

abc: 5.094 5.094 5.094
angles: 130.98 130.98 71.84
Atoms (fractional coordinates):
1 Tl 0.000 0.000 0.000
2 Tc 0.250 0.750 0.500
3 Tc 0.750 0.250 0.500
4 Hg 0.500 0.500 0.000

Electronic total energy in eV per atom: -4.983
Relative energy among the computed polymorphs in meV/atom: 568.3
Total moment in μB/atom: 0.89
Energy of formation from the pure elements in kJ/mol of formula units: 335


Record 4
DFT (GGA-PBE) results for crystalline Tl2TcHg at its relaxed geometry.

abc: 3.203 3.203 9.225
angles: 90.00 90.00 90.00
Atoms (fractional coordinates):
1 Tl 0.000 0.000 0.000
2 Tl 0.500 0.500 0.308
3 Tc 0.500 0.500 0.790
4 Hg 0.000 0.000 0.592

Electronic total energy in eV per atom: -3.318
Relative energy among the computed polymorphs in meV/atom: 45.5
Total moment in μB/atom: 0.50
Energy of formation from the pure elements in kJ/mol of formula units: 205


Record 5
DFT (GGA-PBE) results for crystalline TlTcHg2 at its relaxed geometry.

abc: 5.584 5.584 5.584
angles: 135.79 135.79 64.31
Atoms (fractional coordinates):
1 Tl 0.000 0.000 0.000
2 Tc 0.750 0.250 0.500
3 Hg 0.250 0.750 0.500
4 Hg 0.500 0.500 0.000

Electronic total energy in eV per atom: -2.677
Relative energy among the computed polymorphs in meV/atom: 181.9
Total moment in μB/atom: 0.34
Energy of formation from the pure elements in kJ/mol of formula units: 254


Record 6
DFT (GGA-PBE) results for crystalline TlTcHg2 at its relaxed geometry.

abc: 5.046 5.046 5.046
angles: 60.00 60.00 60.00
Atoms (fractional coordinates):
1 Tl 0.000 0.000 0.000
2 Tc 0.500 0.500 0.500
3 Hg 0.250 0.250 0.250
4 Hg 0.750 0.750 0.750

Electronic total energy in eV per atom: -2.554
Relative energy among the computed polymorphs in meV/atom: 305.3
Total moment in μB/atom: 0.77
Energy of formation from the pure elements in kJ/mol of formula units: 301